No. 1
Density functional theory data (PBE) for a relaxed CaHoTe2 crystal.

a b c (Å): 8.8365 17.6049 7.6118
angles (deg): 90.00 124.94 90.00
Last column: nearest neighbours and their distance in Å.
Space group C2/c (No. 15)
Symmetry-distinct sites (fractional):
Ca  0.0000  0.0614  0.2500 [4 per cell]  6 Te 3.13-3.15
Ca  0.0000  0.1866  0.7500 [4 per cell]  6 Te 3.13-3.15
Ho  0.0000  0.3112  0.2500 [4 per cell]  6 Te 3.09-3.10
Ho  0.0000  0.4361  0.7500 [4 per cell]  6 Te 3.09-3.10
Te  0.2413  0.4376  0.2463 [8 per cell]  3 Ho 3.09-3.10, 3 Ca 3.14-3.15
Te  0.2484  0.3126  0.7465 [8 per cell]  3 Ho 3.10, 3 Ca 3.13-3.14

Output
The calculation puts the formation energy without anion corrections at -1.43 eV per atom. As for the crystal system: monoclinic. For the distance to the lowest polymorph of the same formula, the calculation gives 5 meV/atom.

***

No. 2
Density functional theory data (PBE) for a relaxed Ba2AlSi3 crystal.

a b c (Å): 4.6542 4.6731 14.7211
angles (deg): 90.00 90.00 90.00
Last column: nearest neighbours and their distance in Å.
Space group Imm2 (No. 44)
Symmetry-distinct sites (fractional):
Ba  0.0000  0.0000  0.0000 [2 per cell]  8 Si 3.36-3.52, 4 Al 3.54
Ba  0.0000  0.5000  0.2575 [2 per cell]  10 Si 3.31-3.52, 2 Al 3.43
Al  0.0000  0.0000  0.5868 [2 per cell]  3 Si 2.51-2.66
Si  0.0000  0.0000  0.4165 [2 per cell]  1 Al 2.51, 2 Si 2.61
Si  0.0000  0.5000  0.6738 [2 per cell]  1 Si 2.39, 2 Al 2.66
Si  0.0000  0.5000  0.8359 [2 per cell]  3 Si 2.39-2.61

Output
The calculation puts the formation energy without anion corrections at -0.30 eV per atom. As for the crystal system: orthorhombic.

***

No. 3
Density functional theory data (PBE) for a relaxed SrCa2TlRh crystal.

a b c (Å): 5.4822 5.4822 5.7925
angles (deg): 90.00 90.00 90.00
Last column: nearest neighbours and their distance in Å.
Space group P4/mmm (No. 123)
Symmetry-distinct sites (fractional):
Sr  0.0000  0.0000  0.0000 [1 per cell]  2 Rh 2.90
Ca  0.0000  0.5000  0.5000 [2 per cell]  2 Rh 2.74
Tl  0.5000  0.5000  0.0000 [1 per cell]  4 Sr 3.88, 8 Ca 3.99
Rh  0.0000  0.0000  0.5000 [1 per cell]  4 Ca 2.74, 2 Sr 2.90

Output
The calculation puts the formation energy at -0.23 eV/atom. As for the crystal system: tetragonal. For the distance to the lowest polymorph of the same formula, the calculation gives 13 meV/atom.

***

No. 4
Density functional theory data (PBE) for a relaxed SrFe2Au crystal.

a b c (Å): 6.7029 6.7029 6.7029
angles (deg): 90.00 90.00 90.00
Last column: nearest neighbours and their distance in Å.
Space group Fm-3m (No. 225)
Symmetry-distinct sites (fractional):
Sr  0.0000  0.0000  0.0000 [4 per cell]  8 Fe 2.90
Fe  0.2500  0.2500  0.2500 [8 per cell]  4 Sr 2.90, 4 Au 2.90
Au  0.0000  0.0000  0.5000 [4 per cell]  8 Fe 2.90

Output
The calculation puts the formation energy at 0.58 eV/atom. As for the crystal system: cubic.

***

No. 5
Density functional theory data (PBE) for a relaxed K2Mn2Cl crystal.

a b c (Å): 3.3044 3.3044 20.4395
angles (deg): 90.00 90.00 90.00
Last column: nearest neighbours and their distance in Å.
Space group I4/mmm (No. 139)
Symmetry-distinct sites (fractional):
K  0.0000  0.0000  0.0990 [4 per cell]  4 Cl 3.09, 4 K 3.30
Mn  0.0000  0.5000  0.2500 [4 per cell]  4 Mn 2.34
Cl  0.0000  0.0000  0.5000 [2 per cell]  8 K 3.09, 4 Cl 3.30

Output
The calculation puts the formation energy without anion corrections at -0.02 eV per atom. As for the crystal system: tetragonal. For the distance to the lowest polymorph of the same formula, the calculation gives 0 meV/atom.

***

No. 6
Density functional theory data (PBE) for a relaxed MgTaH crystal.

a b c (Å): 5.2180 5.9330 5.2402
angles (deg): 90.00 90.00 90.00
Last column: nearest neighbours and their distance in Å.
Space group Pnma (No. 62)
Symmetry-distinct sites (fractional):
Mg  0.0000  0.0000  0.0000 [4 per cell]  2 H 2.05
Ta  0.0031  0.2500  0.4992 [4 per cell]  2 H 1.89-1.90
H  0.1887  0.7500  0.1937 [4 per cell]  2 Ta 1.89-1.90, 2 Mg 2.05

Output
As for the crystal system: orthorhombic. For the distance to the lowest polymorph of the same formula, the calculation gives 389 meV/atom.